Density functional theory data (PBE with a Hubbard U) for a relaxed structure of Ni5Rh3O12.

Unit cell a=9.0089 b=9.0089 c=2.9952 alpha=90.00 beta=90.00 gamma=120.00
Positions (direct):
Ni (0.0000, 0.6554, 0.0000)
Ni (0.3333, 0.6667, 0.0000)
Ni (0.3446, 0.3446, 0.0000)
Ni (0.6554, 0.0000, 0.0000)
Ni (0.6667, 0.3333, 0.0000)
Rh (0.0000, 0.3020, 0.5000)
Rh (0.3020, 0.0000, 0.5000)
Rh (0.6980, 0.6980, 0.5000)
O (0.0000, 0.1648, 0.0000)
O (0.0000, 0.4413, 0.0000)
O (0.1648, 0.0000, 0.0000)
O (0.1884, 0.7389, 0.5000)
O (0.2611, 0.4494, 0.5000)
O (0.4413, 0.0000, 0.0000)
O (0.4494, 0.2611, 0.5000)
O (0.5506, 0.8116, 0.5000)
O (0.5587, 0.5587, 0.0000)
O (0.7389, 0.1884, 0.5000)
O (0.8116, 0.5506, 0.5000)
O (0.8352, 0.8352, 0.0000)

Properties
Total magnetization   8.039 μB per cell
V   10.53 A^3/atom
ρ   6.3 g/cm³
VASP energy   -5.37 eV per atom